Record 1
Here is CaCoOs2 after structural relaxation from Alexandria. Energies are from GGA-PBE.

Geometry as POSCAR:
```
CaCoOs2
1.0
-4.519 2.499 1.763
-0.279 -3.941 -3.763
-1.268 -1.972 1.325
Os Co Ca
2 1 1
direct
0.500 0.500 0.000
0.000 0.000 0.000
0.000 0.500 0.500
0.500 0.000 0.500
```

- Formation enthalpy at 0 K: 0.63 eV per atom
- E_tot: -0.26688 Ha/atom
- N(E_F): 5.14 states/eV/cell



Record 2
Here is ScMnHPt2 after structural relaxation from Alexandria. Energies are from GGA-PBE.

Geometry as POSCAR:
```
ScMnHPt2
1.0
-1.586 -0.133 3.703
2.724 -2.773 1.067
2.512 2.923 1.181
Mn H Pt Sc
1 1 2 1
direct
0.000 0.000 0.500
0.000 0.000 0.000
0.000 0.500 0.000
0.500 0.000 0.000
0.500 0.500 0.500
```

- E_tot: -0.24692 Ha/atom
- N(E_F): 2.21 states/eV/cell



Record 3
Here is NdThNi2P2 after structural relaxation from Alexandria. Energies are from GGA-PBE.

Geometry as POSCAR:
```
NdThNi2P2
1.0
-3.575 0.163 1.729
1.791 -3.508 -0.535
3.529 0.698 7.228
Ni Th Nd P
2 1 1 2
direct
0.667 0.333 0.736
0.333 0.667 0.264
0.000 0.000 0.500
0.000 0.000 0.000
0.333 0.667 0.755
0.667 0.333 0.245
```

- Formation enthalpy at 0 K: -1.20 eV per atom
- E_tot: -0.25587 Ha/atom
- N(E_F): 3.38 states/eV/cell